one | Computed, not measured: an optimized crystal structure of Nb3GaBi at the PBE-GGA level of DFT.

abc: 5.1578 5.1578 5.1578
angles: 90.00 90.00 90.00
Closest atoms and distances in Å follow each position.
Sites, in units of the cell vectors:
Nb 0.0000 0.0000 0.5000  2 Bi 2.58
Nb 0.0000 0.5000 0.0000  2 Bi 2.58
Nb 0.5000 0.0000 0.0000  2 Bi 2.58
Ga 0.5000 0.5000 0.5000  12 Nb 3.65
Bi 0.0000 0.0000 0.0000  6 Nb 2.58



two | Computed, not measured: an optimized crystal structure of Nb3GaBi at the PBE-GGA level of DFT.

abc: 4.8242 4.8242 4.8242
angles: 90.00 90.00 90.00
Closest atoms and distances in Å follow each position.
Sites, in units of the cell vectors:
Nb 0.0000 0.0000 0.5000  2 Ga 2.41
Nb 0.0000 0.5000 0.0000  2 Ga 2.41
Nb 0.5000 0.0000 0.0000  2 Ga 2.41
Ga 0.0000 0.0000 0.0000  6 Nb 2.41
Bi 0.5000 0.5000 0.5000  12 Nb 3.41



Stability ranking, top and bottom: two is the most stable and one is the least stable.



one | Computed, not measured: an optimized crystal structure of Nd2GaBi4 at the PBE-GGA level of DFT.

abc: 16.1988 4.5989 6.4033
angles: 90.00 108.12 90.00
Closest atoms and distances in Å follow each position.
Sites, in units of the cell vectors:
Nd 0.2117 0.0000 0.2449  6 Bi 3.21-3.58, 1 Ga 3.30
Nd 0.2883 0.5000 0.7551  6 Bi 3.21-3.58, 1 Ga 3.30
Nd 0.7117 0.5000 0.2449  6 Bi 3.21-3.58, 1 Ga 3.30
Nd 0.7883 0.0000 0.7551  6 Bi 3.21-3.58, 1 Ga 3.30
Ga 0.0000 0.0000 0.0000  6 Bi 3.07-3.29, 2 Nd 3.30
Ga 0.5000 0.5000 0.0000  6 Bi 3.07-3.29, 2 Nd 3.30
Bi 0.0714 0.5000 0.3239  2 Ga 3.07, 2 Bi 3.34, 2 Nd 3.38
Bi 0.1386 0.0000 0.7177  4 Nd 3.21-3.58, 1 Ga 3.29, 2 Bi 3.34
Bi 0.3614 0.5000 0.2823  4 Nd 3.21-3.58, 1 Ga 3.29, 2 Bi 3.34
Bi 0.4286 0.0000 0.6761  2 Ga 3.07, 2 Bi 3.34, 2 Nd 3.38
Bi 0.5714 0.0000 0.3239  2 Ga 3.07, 2 Bi 3.34, 2 Nd 3.38
Bi 0.6386 0.5000 0.7177  4 Nd 3.21-3.58, 1 Ga 3.29, 2 Bi 3.34
Bi 0.8614 0.0000 0.2823  4 Nd 3.21-3.58, 1 Ga 3.29, 2 Bi 3.34
Bi 0.9286 0.5000 0.6761  2 Ga 3.07, 2 Bi 3.34, 2 Nd 3.38



two | Computed, not measured: an optimized crystal structure of Nd2GaBi4 at the PBE-GGA level of DFT.

abc: 9.3139 9.8695 6.7189
angles: 90.00 133.65 90.00
Closest atoms and distances in Å follow each position.
Sites, in units of the cell vectors:
Nd 0.2500 0.2500 0.0000  8 Bi 3.36-3.39, 2 Ga 3.46
Nd 0.2500 0.7500 0.0000  8 Bi 3.36-3.39, 2 Ga 3.46
Nd 0.7500 0.2500 0.0000  8 Bi 3.36-3.39, 2 Ga 3.46
Nd 0.7500 0.7500 0.0000  8 Bi 3.36-3.39, 2 Ga 3.46
Ga 0.0000 0.0000 0.5000  8 Bi 3.36-3.39, 4 Nd 3.46
Ga 0.5000 0.5000 0.5000  8 Bi 3.36-3.39, 4 Nd 3.46
Bi 0.0000 0.0000 0.0000  2 Ga 3.36, 4 Nd 3.39, 4 Bi 3.46
Bi 0.0000 0.5000 0.0000  2 Ga 3.37, 4 Nd 3.39, 4 Bi 3.46
Bi 0.2500 0.2500 0.5000  4 Nd 3.36-3.37, 2 Ga 3.39, 4 Bi 3.46
Bi 0.2500 0.7500 0.5000  4 Nd 3.36-3.37, 2 Ga 3.39, 4 Bi 3.46
Bi 0.5000 0.0000 0.0000  2 Ga 3.37, 4 Nd 3.39, 4 Bi 3.46
Bi 0.5000 0.5000 0.0000  2 Ga 3.36, 4 Nd 3.39, 4 Bi 3.46
Bi 0.7500 0.2500 0.5000  4 Nd 3.36-3.37, 2 Ga 3.39, 4 Bi 3.46
Bi 0.7500 0.7500 0.5000  4 Nd 3.36-3.37, 2 Ga 3.39, 4 Bi 3.46



Stability ranking, top and bottom: two is the most stable and one is the least stable.



one | Computed, not measured: an optimized crystal structure of NdGa2Bi at the PBE-GGA level of DFT.

abc: 4.7160 4.7160 4.4409
angles: 90.00 90.00 90.00
Closest atoms and distances in Å follow each position.
Sites, in units of the cell vectors:
Nd 0.0000 0.0000 0.0000  8 Ga 3.24, 4 Bi 3.33
Ga 0.0000 0.5000 0.5000  4 Bi 3.24, 4 Nd 3.24, 4 Ga 3.33
Ga 0.5000 0.0000 0.5000  4 Bi 3.24, 4 Nd 3.24, 4 Ga 3.33
Bi 0.5000 0.5000 0.0000  8 Ga 3.24, 4 Nd 3.33



two | Computed, not measured: an optimized crystal structure of NdGa2Bi at the PBE-GGA level of DFT.

abc: 5.3270 5.3270 12.6353
angles: 90.00 90.00 120.00
Closest atoms and distances in Å follow each position.
Sites, in units of the cell vectors:
Nd 0.0000 0.0000 0.0000  8 Ga 3.17-3.25
Nd 0.3333 0.6667 0.6667  8 Ga 3.17-3.25
Nd 0.6667 0.3333 0.3333  8 Ga 3.17-3.25
Ga 0.0000 0.0000 0.2509  4 Bi 3.15-3.25, 4 Nd 3.17-3.25
Ga 0.0000 0.0000 0.7491  4 Bi 3.15-3.25, 4 Nd 3.17-3.25
Ga 0.3333 0.6667 0.4158  4 Bi 3.15-3.25, 4 Nd 3.17-3.25
Ga 0.3333 0.6667 0.9176  4 Bi 3.15-3.25, 4 Nd 3.17-3.25
Ga 0.6667 0.3333 0.0824  4 Bi 3.15-3.25, 4 Nd 3.17-3.25
Ga 0.6667 0.3333 0.5842  4 Bi 3.15-3.25, 4 Nd 3.17-3.25
Bi 0.0000 0.0000 0.5000  8 Ga 3.15-3.25
Bi 0.3333 0.6667 0.1667  8 Ga 3.15-3.25
Bi 0.6667 0.3333 0.8333  8 Ga 3.15-3.25



Stability ranking, top and bottom: one is the most stable and two is the least stable.



one | Computed, not measured: an optimized crystal structure of Ga2NiBi2 at the PBE-GGA level of DFT.

abc: 5.8425 5.8425 7.0453
angles: 90.00 90.00 90.00
Closest atoms and distances in Å follow each position.
Sites, in units of the cell vectors:
Ga 0.0000 0.0000 0.1709  1 Ni 2.32, 1 Ga 2.41
Ga 0.0000 0.0000 0.8291  1 Ni 2.32, 1 Ga 2.41
Ga 0.5000 0.5000 0.3291  1 Ni 2.32, 1 Ga 2.41
Ga 0.5000 0.5000 0.6709  1 Ni 2.32, 1 Ga 2.41
Ni 0.0000 0.0000 0.5000  2 Ga 2.32
Ni 0.5000 0.5000 0.0000  2 Ga 2.32
Bi 0.0000 0.5000 0.2500  4 Ga 2.97
Bi 0.0000 0.5000 0.7500  4 Ga 2.97
Bi 0.5000 0.0000 0.2500  4 Ga 2.97
Bi 0.5000 0.0000 0.7500  4 Ga 2.97



two | Computed, not measured: an optimized crystal structure of Ga2NiBi2 at the PBE-GGA level of DFT.

abc: 6.5587 6.5587 5.1563
angles: 90.00 90.00 90.00
Closest atoms and distances in Å follow each position.
Sites, in units of the cell vectors:
Ga 0.1473 0.3527 0.0000  2 Ni 2.51, 1 Ga 2.73
Ga 0.3527 0.8527 0.0000  2 Ni 2.51, 1 Ga 2.73
Ga 0.6473 0.1473 0.0000  2 Ni 2.51, 1 Ga 2.73
Ga 0.8527 0.6473 0.0000  2 Ni 2.51, 1 Ga 2.73
Ni 0.0000 0.0000 0.0000  4 Ga 2.51
Ni 0.5000 0.5000 0.0000  4 Ga 2.51
Bi 0.1767 0.6767 0.5000  6 Ga 3.05-3.35, 5 Bi 3.28-3.42
Bi 0.3233 0.1767 0.5000  6 Ga 3.05-3.35, 5 Bi 3.28-3.42
Bi 0.6767 0.8233 0.5000  6 Ga 3.05-3.35, 5 Bi 3.28-3.42
Bi 0.8233 0.3233 0.5000  6 Ga 3.05-3.35, 5 Bi 3.28-3.42



Stability ranking, top and bottom: two is the most stable and one is the least stable.



one | Computed, not measured: an optimized crystal structure of Ga2Ni2Bi at the PBE-GGA level of DFT.

abc: 7.5965 7.5965 2.8567
angles: 90.00 90.00 90.00
Closest atoms and distances in Å follow each position.
Sites, in units of the cell vectors:
Ga 0.1261 0.3739 0.0000  6 Ni 2.62-2.69, 3 Ga 2.71-2.86
Ga 0.3739 0.8739 0.0000  6 Ni 2.62-2.69, 3 Ga 2.71-2.86
Ga 0.6261 0.1261 0.0000  6 Ni 2.62-2.69, 3 Ga 2.71-2.86
Ga 0.8739 0.6261 0.0000  6 Ni 2.62-2.69, 3 Ga 2.71-2.86
Ni 0.1615 0.6615 0.5000  6 Ga 2.62-2.69, 2 Ni 2.86
Ni 0.3385 0.1615 0.5000  6 Ga 2.62-2.69, 2 Ni 2.86
Ni 0.6615 0.8385 0.5000  6 Ga 2.62-2.69, 2 Ni 2.86
Ni 0.8385 0.3385 0.5000  6 Ga 2.62-2.69, 2 Ni 2.86
Bi 0.0000 0.0000 0.0000  2 Bi 2.86, 4 Ga 3.00, 8 Ni 3.19
Bi 0.5000 0.5000 0.0000  2 Bi 2.86, 4 Ga 3.00, 8 Ni 3.19



two | Computed, not measured: an optimized crystal structure of Ga2Ni2Bi at the PBE-GGA level of DFT.

abc: 7.3882 7.3882 2.9868
angles: 90.00 90.00 90.00
Closest atoms and distances in Å follow each position.
Sites, in units of the cell vectors:
Ga 0.1430 0.3570 0.0000  6 Ni 2.59-2.68
Ga 0.3570 0.8570 0.0000  6 Ni 2.59-2.68
Ga 0.6430 0.1430 0.0000  6 Ni 2.59-2.68
Ga 0.8570 0.6430 0.0000  6 Ni 2.59-2.68
Ni 0.1436 0.6436 0.5000  6 Ga 2.59-2.68, 2 Bi 2.84
Ni 0.3564 0.1436 0.5000  6 Ga 2.59-2.68, 2 Bi 2.84
Ni 0.6436 0.8564 0.5000  6 Ga 2.59-2.68, 2 Bi 2.84
Ni 0.8564 0.3564 0.5000  6 Ga 2.59-2.68, 2 Bi 2.84
Bi 0.0000 0.0000 0.5000  4 Ni 2.84, 2 Bi 2.99
Bi 0.5000 0.5000 0.5000  4 Ni 2.84, 2 Bi 2.99



three | Computed, not measured: an optimized crystal structure of Ga2Ni2Bi at the PBE-GGA level of DFT.

abc: 3.7471 3.7471 11.7668
angles: 90.00 90.00 90.00
Closest atoms and distances in Å follow each position.
Sites, in units of the cell vectors:
Ga 0.0000 0.5000 0.2500  4 Ni 2.48, 4 Ga 2.65
Ga 0.0000 0.5000 0.7500  4 Ni 2.48, 4 Ga 2.65
Ga 0.5000 0.0000 0.2500  4 Ni 2.48, 4 Ga 2.65
Ga 0.5000 0.0000 0.7500  4 Ni 2.48, 4 Ga 2.65
Ni 0.0000 0.0000 0.1113  4 Ga 2.48, 1 Ni 2.62
Ni 0.0000 0.0000 0.8887  4 Ga 2.48, 1 Ni 2.62
Ni 0.5000 0.5000 0.3887  4 Ga 2.48, 1 Ni 2.62
Ni 0.5000 0.5000 0.6113  4 Ga 2.48, 1 Ni 2.62
Bi 0.0000 0.0000 0.5000  8 Ni 2.96
Bi 0.5000 0.5000 0.0000  8 Ni 2.96



Stability ranking, top and bottom: three is the most stable and one is the least stable.



one | Computed, not measured: an optimized crystal structure of GaNi3Bi at the PBE-GGA level of DFT.

abc: 4.4269 4.4269 4.4269
angles: 90.00 90.00 90.00
Closest atoms and distances in Å follow each position.
Sites, in units of the cell vectors:
Ga 0.0000 0.0000 0.0000  6 Ni 2.21
Ni 0.0000 0.0000 0.5000  2 Ga 2.21
Ni 0.0000 0.5000 0.0000  2 Ga 2.21
Ni 0.5000 0.0000 0.0000  2 Ga 2.21
Bi 0.5000 0.5000 0.5000  12 Ni 3.13



two | Computed, not measured: an optimized crystal structure of GaNi3Bi at the PBE-GGA level of DFT.

abc: 4.8320 4.8320 4.8320
angles: 90.00 90.00 90.00
Closest atoms and distances in Å follow each position.
Sites, in units of the cell vectors:
Ga 0.0000 0.0000 0.0000  12 Ni 3.42
Ni 0.0000 0.5000 0.5000  2 Bi 2.42
Ni 0.5000 0.0000 0.5000  2 Bi 2.42
Ni 0.5000 0.5000 0.0000  2 Bi 2.42
Bi 0.5000 0.5000 0.5000  6 Ni 2.42



Stability ranking, top and bottom: one is the most stable and two is the least stable.